[1]
Compound: PmSc2Pd9
Source: Alexandria
Functional: PBE
Structure: relaxed

DFT formation energy ... -0.81 eV per atom
Mass density ... 9.8 g/cm³
Calculated volume ... 202 Å³/f.u.
SG ... P4/mmm

a b c (Å): 4.0847 4.0847 12.1160
angles (deg): 90.00 90.00 90.00
Closest atoms and distances in Å follow each position.
Atoms (fractional coordinates):
Pm 0.0000 0.0000 0.0000  12 Pd 2.89-2.97
Sc 0.0000 0.0000 0.3394  12 Pd 2.82-2.89
Sc 0.0000 0.0000 0.6606  12 Pd 2.82-2.89
Pd 0.0000 0.5000 0.1781  8 Pd 2.82-2.97, 2 Sc 2.83, 2 Pm 2.97
Pd 0.0000 0.5000 0.5000  4 Sc 2.82, 8 Pd 2.83-2.89
Pd 0.0000 0.5000 0.8219  8 Pd 2.82-2.97, 2 Sc 2.83, 2 Pm 2.97
Pd 0.5000 0.0000 0.1781  8 Pd 2.82-2.97, 2 Sc 2.83, 2 Pm 2.97
Pd 0.5000 0.0000 0.5000  4 Sc 2.82, 8 Pd 2.83-2.89
Pd 0.5000 0.0000 0.8219  8 Pd 2.82-2.97, 2 Sc 2.83, 2 Pm 2.97
Pd 0.5000 0.5000 0.0000  4 Pm 2.89, 8 Pd 2.97
Pd 0.5000 0.5000 0.3381  8 Pd 2.82-2.83, 4 Sc 2.89
Pd 0.5000 0.5000 0.6619  8 Pd 2.82-2.83, 4 Sc 2.89


[2]
Compound: Be2CdP2
Source: Alexandria
Functional: PBE
Structure: relaxed

DFT formation energy ... 0.01 eV per atom
Mass density ... 4.1 g/cm³
Calculated volume ... 77 Å³/f.u.
SG ... I4/mmm

a b c (Å): 6.7123 6.7123 6.7123
angles (deg): 149.59 149.59 43.54
Closest atoms and distances in Å follow each position.
Atoms (fractional coordinates):
Be 0.2500 0.7500 0.5000  4 P 2.21
Be 0.7500 0.2500 0.5000  4 P 2.21
Cd 0.0000 0.0000 0.0000  8 P 3.07
P 0.3566 0.3566 0.0000  4 Be 2.21
P 0.6434 0.6434 0.0000  4 Be 2.21


[3]
Compound: Sr2ErCu2S4
Source: Alexandria
Functional: PBE
Structure: relaxed

Mass density ... 5.3 g/cm³
Uncorrected formation energy ... -130.50 kJ/mol of atoms
Calculated volume ... 186 Å³/f.u.
SG ... C2/m

a b c (Å): 7.4286 7.4286 7.1403
angles (deg): 109.64 109.64 30.17
Closest atoms and distances in Å follow each position.
Atoms (fractional coordinates):
Sr 0.1340 0.1340 0.0698  7 S 3.02-3.23, 1 Cu 3.29
Sr 0.8660 0.8660 0.9302  7 S 3.02-3.23, 1 Cu 3.29
Er 0.0000 0.0000 0.5000  6 S 2.74-2.77
Cu 0.3172 0.3172 0.5033  4 S 2.36-2.53
Cu 0.6828 0.6828 0.4967  4 S 2.36-2.53
S 0.2034 0.2034 0.7056  3 Cu 2.40-2.53
S 0.4768 0.4768 0.7515  1 Cu 2.36
S 0.5232 0.5232 0.2485  1 Cu 2.36
S 0.7966 0.7966 0.2944  3 Cu 2.40-2.53


[4]
Compound: PmHf2ReC4
Source: Alexandria
Functional: PBE
Structure: relaxed

DFT formation energy ... -0.36 eV per atom
Mass density ... 10.8 g/cm³
Calculated volume ... 114 Å³/f.u.
SG ... Cmcm

a b c (Å): 6.0998 6.0998 11.5614
angles (deg): 90.00 90.00 148.14
Closest atoms and distances in Å follow each position.
Atoms (fractional coordinates):
Pm 0.0974 0.9026 0.7500  6 C 2.57-2.82
Pm 0.9026 0.0974 0.2500  6 C 2.57-2.82
Hf 0.3709 0.6291 0.5390  5 C 2.20-2.45
Hf 0.3709 0.6291 0.9610  5 C 2.20-2.45
Hf 0.6291 0.3709 0.0390  5 C 2.20-2.45
Hf 0.6291 0.3709 0.4610  5 C 2.20-2.45
Re 0.1655 0.8345 0.2500  4 C 1.92-2.02
Re 0.8345 0.1655 0.7500  4 C 1.92-2.02
C 0.0000 0.0000 0.0000  4 Hf 2.30
C 0.0000 0.0000 0.5000  4 Hf 2.30
C 0.2614 0.7386 0.1150  1 Re 1.92
C 0.2614 0.7386 0.3850  1 Re 1.92
C 0.4307 0.5693 0.7500  2 Re 2.02
C 0.5693 0.4307 0.2500  2 Re 2.02
C 0.7386 0.2614 0.6150  1 Re 1.92
C 0.7386 0.2614 0.8850  1 Re 1.92


Calculated DOS at the Fermi energy (states/eV per cell), listed in the same order as above: 9.9; 2.5; 3.9; 6.6
Calculated total magnetization (μB per cell), listed in the same order as above: 0.00; 0.00; 0.00; 0.00